The following is a DFT calculation (PBE) of a relaxed PmHgIr crystal.

Computed properties:
The calculation puts the spin magnetization at 0.00 μB per cell. The energy of formation from the pure elements comes out at -271 meV/atom. As for the volume: 22.57 Å³/atom. As for the symmetry: No. 187. Its energy relative to the lowest polymorph listed for this composition is 275 meV/atom.

Cell: 4.761 4.761 3.449 Å, 90.00 90.00 120.00°
Fractional positions:
Pm: 0.000 0.000 0.000
Hg: 0.667 0.333 0.500
Ir: 0.333 0.667 0.500



The following is a DFT calculation (PBE) of a relaxed CsBeRh2 crystal.

Computed properties:
The calculation puts the spin magnetization at 0.00 μB per cell. The energy of formation from the pure elements comes out at 683 meV/atom. As for the volume: 24.54 Å³/atom. As for the symmetry: No. 122.

Cell: 8.497 8.497 8.497 Å, 145.46 145.46 49.66°
Fractional positions:
Cs: 0.000 0.000 0.000
Cs: 0.750 0.250 0.500
Be: 0.250 0.750 0.500
Be: 0.500 0.500 0.000
Rh: 0.359 0.125 0.734
Rh: 0.375 0.641 0.766
Rh: 0.391 0.625 0.266
Rh: 0.875 0.609 0.234